Entry 1:
This record from Alexandria describes crystalline Zr6Al2Co at its relaxed geometry. The functional is PBEsol.

Cell and atoms, written as CIF:
```
data_Zr6Al2Co
_chemical_formula_sum 'Zr6 Al2 Co1'
_cell_length_a 7.837
_cell_length_b 7.837
_cell_length_c 3.282
_cell_angle_alpha 90.00
_cell_angle_beta 90.00
_cell_angle_gamma 120.00
_space_group_name_H-M_alt 'P 1'
_space_group_IT_number 1
loop_
_space_group_symop_operation_xyz
'x,y,z'
loop_
_atom_site_label
_atom_site_type_symbol
_atom_site_fract_x
_atom_site_fract_y
_atom_site_fract_z
Zr1 Zr 0.000 0.250 0.000
Zr2 Zr 0.000 0.600 0.500
Zr3 Zr 0.250 0.000 0.000
Zr4 Zr 0.400 0.400 0.500
Zr5 Zr 0.600 0.000 0.500
Zr6 Zr 0.750 0.750 0.000
Al1 Al 0.333 0.667 0.000
Al2 Al 0.667 0.333 0.000
Co1 Co 0.000 0.000 0.500
```

Entry 2:
This record from Alexandria describes crystalline ZrAlCo2 at its relaxed geometry. The functional is PBEsol.

Cell and atoms, written as CIF:
```
data_ZrAlCo2
_chemical_formula_sum 'Zr1 Al1 Co2'
_cell_length_a 8.734
_cell_length_b 8.734
_cell_length_c 8.734
_cell_angle_alpha 18.22
_cell_angle_beta 18.22
_cell_angle_gamma 18.22
_space_group_name_H-M_alt 'P 1'
_space_group_IT_number 1
loop_
_space_group_symop_operation_xyz
'x,y,z'
loop_
_atom_site_label
_atom_site_type_symbol
_atom_site_fract_x
_atom_site_fract_y
_atom_site_fract_z
Zr1 Zr 0.000 0.000 0.000
Al1 Al 0.766 0.766 0.766
Co1 Co 0.243 0.243 0.243
Co2 Co 0.507 0.507 0.507
```

Entry 3:
This record from Alexandria describes crystalline ZrAlCo2 at its relaxed geometry. The functional is PBEsol.

Cell and atoms, written as CIF:
```
data_ZrAlCo2
_chemical_formula_sum 'Zr1 Al1 Co2'
_cell_length_a 4.184
_cell_length_b 4.184
_cell_length_c 3.071
_cell_angle_alpha 90.00
_cell_angle_beta 90.00
_cell_angle_gamma 90.00
_space_group_name_H-M_alt 'P 1'
_space_group_IT_number 1
loop_
_space_group_symop_operation_xyz
'x,y,z'
loop_
_atom_site_label
_atom_site_type_symbol
_atom_site_fract_x
_atom_site_fract_y
_atom_site_fract_z
Zr1 Zr 0.000 0.000 0.000
Al1 Al 0.500 0.500 0.000
Co1 Co 0.000 0.500 0.500
Co2 Co 0.500 0.000 0.500
```

Entry 4:
This record from Alexandria describes crystalline Zr2AlCo at its relaxed geometry. The functional is PBEsol.

Cell and atoms, written as CIF:
```
data_Zr2AlCo
_chemical_formula_sum 'Zr2 Al1 Co1'
_cell_length_a 3.015
_cell_length_b 3.015
_cell_length_c 7.521
_cell_angle_alpha 90.00
_cell_angle_beta 90.00
_cell_angle_gamma 90.00
_space_group_name_H-M_alt 'P 1'
_space_group_IT_number 1
loop_
_space_group_symop_operation_xyz
'x,y,z'
loop_
_atom_site_label
_atom_site_type_symbol
_atom_site_fract_x
_atom_site_fract_y
_atom_site_fract_z
Zr1 Zr 0.000 0.000 0.223
Zr2 Zr 0.000 0.000 0.777
Al1 Al 0.500 0.500 0.500
Co1 Co 0.500 0.500 0.000
```

Entry 5:
This record from Alexandria describes crystalline ZrAlCo2 at its relaxed geometry. The functional is PBEsol.

Cell and atoms, written as CIF:
```
data_ZrAlCo2
_chemical_formula_sum 'Zr1 Al1 Co2'
_cell_length_a 3.057
_cell_length_b 3.057
_cell_length_c 5.774
_cell_angle_alpha 90.00
_cell_angle_beta 90.00
_cell_angle_gamma 90.00
_space_group_name_H-M_alt 'P 1'
_space_group_IT_number 1
loop_
_space_group_symop_operation_xyz
'x,y,z'
loop_
_atom_site_label
_atom_site_type_symbol
_atom_site_fract_x
_atom_site_fract_y
_atom_site_fract_z
Zr1 Zr 0.000 0.000 0.000
Al1 Al 0.000 0.000 0.500
Co1 Co 0.500 0.500 0.266
Co2 Co 0.500 0.500 0.734
```

Entry 6:
This record from Alexandria describes crystalline Zr2Al6Co at its relaxed geometry. The functional is PBEsol.

Cell and atoms, written as CIF:
```
data_Zr2Al6Co
_chemical_formula_sum 'Zr2 Al6 Co1'
_cell_length_a 7.668
_cell_length_b 7.668
_cell_length_c 2.999
_cell_angle_alpha 90.00
_cell_angle_beta 90.00
_cell_angle_gamma 120.00
_space_group_name_H-M_alt 'P 1'
_space_group_IT_number 1
loop_
_space_group_symop_operation_xyz
'x,y,z'
loop_
_atom_site_label
_atom_site_type_symbol
_atom_site_fract_x
_atom_site_fract_y
_atom_site_fract_z
Zr1 Zr 0.333 0.667 0.000
Zr2 Zr 0.667 0.333 0.000
Al1 Al 0.000 0.247 0.000
Al2 Al 0.000 0.657 0.500
Al3 Al 0.247 0.000 0.000
Al4 Al 0.343 0.343 0.500
Al5 Al 0.657 0.000 0.500
Al6 Al 0.753 0.753 0.000
Co1 Co 0.000 0.000 0.500
```

Entry 7:
This record from Alexandria describes crystalline Al5Cr at its relaxed geometry. The functional is PBEsol.

Cell and atoms, written as CIF:
```
data_Al5Cr
_chemical_formula_sum 'Al5 Cr1'
_cell_length_a 4.479
_cell_length_b 7.226
_cell_length_c 7.226
_cell_angle_alpha 22.10
_cell_angle_beta 90.00
_cell_angle_gamma 90.00
_space_group_name_H-M_alt 'P 1'
_space_group_IT_number 1
loop_
_space_group_symop_operation_xyz
'x,y,z'
loop_
_atom_site_label
_atom_site_type_symbol
_atom_site_fract_x
_atom_site_fract_y
_atom_site_fract_z
Al1 Al 0.000 0.000 0.000
Al2 Al 0.000 0.316 0.316
Al3 Al 0.500 0.105 0.105
Al4 Al 0.500 0.432 0.432
Al5 Al 0.500 0.764 0.764
Cr1 Cr 0.000 0.660 0.660
```

Entry 8:
This record from Alexandria describes crystalline Al17Cr12 at its relaxed geometry. The functional is PBEsol.

Cell and atoms, written as CIF:
```
data_Al17Cr12
_chemical_formula_sum 'Al17 Cr12'
_cell_length_a 8.000
_cell_length_b 8.000
_cell_length_c 8.000
_cell_angle_alpha 109.47
_cell_angle_beta 109.47
_cell_angle_gamma 109.47
_space_group_name_H-M_alt 'P 1'
_space_group_IT_number 1
loop_
_space_group_symop_operation_xyz
'x,y,z'
loop_
_atom_site_label
_atom_site_type_symbol
_atom_site_fract_x
_atom_site_fract_y
_atom_site_fract_z
Al1 Al 0.000 0.000 0.000
Al2 Al 0.000 0.000 0.650
Al3 Al 0.000 0.395 0.680
Al4 Al 0.000 0.650 0.000
Al5 Al 0.000 0.680 0.395
Al6 Al 0.285 0.605 0.605
Al7 Al 0.320 0.320 0.715
Al8 Al 0.320 0.715 0.320
Al9 Al 0.350 0.350 0.350
Al10 Al 0.395 0.000 0.680
Al11 Al 0.395 0.680 0.000
Al12 Al 0.605 0.285 0.605
Al13 Al 0.605 0.605 0.285
Al14 Al 0.650 0.000 0.000
Al15 Al 0.680 0.000 0.395
Al16 Al 0.680 0.395 0.000
Al17 Al 0.715 0.320 0.320
Cr1 Cr 0.000 0.183 0.350
Cr2 Cr 0.000 0.350 0.183
Cr3 Cr 0.167 0.817 0.817
Cr4 Cr 0.183 0.000 0.350
Cr5 Cr 0.183 0.350 0.000
Cr6 Cr 0.350 0.000 0.183
Cr7 Cr 0.350 0.183 0.000
Cr8 Cr 0.650 0.650 0.833
Cr9 Cr 0.650 0.833 0.650
Cr10 Cr 0.817 0.167 0.817
Cr11 Cr 0.817 0.817 0.167
Cr12 Cr 0.833 0.650 0.650
```

Entry 9:
This record from Alexandria describes crystalline Al8Cr at its relaxed geometry. The functional is PBEsol.

Cell and atoms, written as CIF:
```
data_Al8Cr
_chemical_formula_sum 'Al8 Cr1'
_cell_length_a 6.275
_cell_length_b 6.275
_cell_length_c 6.275
_cell_angle_alpha 95.58
_cell_angle_beta 95.58
_cell_angle_gamma 143.65
_space_group_name_H-M_alt 'P 1'
_space_group_IT_number 1
loop_
_space_group_symop_operation_xyz
'x,y,z'
loop_
_atom_site_label
_atom_site_type_symbol
_atom_site_fract_x
_atom_site_fract_y
_atom_site_fract_z
Al1 Al 0.000 0.326 0.326
Al2 Al 0.000 0.674 0.674
Al3 Al 0.326 0.000 0.326
Al4 Al 0.340 0.340 0.681
Al5 Al 0.340 0.660 0.000
Al6 Al 0.660 0.340 0.000
Al7 Al 0.660 0.660 0.319
Al8 Al 0.674 0.000 0.674
Cr1 Cr 0.000 0.000 0.000
```

Entry 10:
This record from Alexandria describes crystalline Al4Cr3 at its relaxed geometry. The functional is PBEsol.

Cell and atoms, written as CIF:
```
data_Al4Cr3
_chemical_formula_sum 'Al4 Cr3'
_cell_length_a 10.554
_cell_length_b 10.554
_cell_length_c 10.554
_cell_angle_alpha 163.71
_cell_angle_beta 163.71
_cell_angle_gamma 23.11
_space_group_name_H-M_alt 'P 1'
_space_group_IT_number 1
loop_
_space_group_symop_operation_xyz
'x,y,z'
loop_
_atom_site_label
_atom_site_type_symbol
_atom_site_fract_x
_atom_site_fract_y
_atom_site_fract_z
Al1 Al 0.069 0.069 0.000
Al2 Al 0.349 0.349 0.000
Al3 Al 0.651 0.651 0.000
Al4 Al 0.931 0.931 0.000
Cr1 Cr 0.221 0.221 0.000
Cr2 Cr 0.500 0.500 0.000
Cr3 Cr 0.779 0.779 0.000
```

no.,mass density (Mg/m³),formation energy from the elements (meV/atom)
1,6.28,-345.5
2,6.89,127.1
3,7.29,-446.7
4,6.52,-327.2
5,7.27,-415.3
6,4.39,-176.0
7,3.53,21.8
8,4.56,-27.1
9,3.20,5.2
10,4.74,-88.3